# NiPdO2

NiPdO2 after structural relaxation (PBE+U, Alexandria via LeMat-Bulk).

The structure in CIF format:
```
data_NiPdO2
_cell_length_a 3.1597
_cell_length_b 3.1597
_cell_length_c 17.2425
_cell_angle_alpha 90.00
_cell_angle_beta 90.00
_cell_angle_gamma 120.00
_symmetry_space_group_name_H-M 'R -3 m'
_symmetry_Int_Tables_number 166
_symmetry_space_group_name_Hall '-R 3 2"'
loop_
_atom_site_label
_atom_site_type_symbol
_atom_site_fract_x
_atom_site_fract_y
_atom_site_fract_z
Ni1 Ni 0.0000 0.0000 0.0000
Pd1 Pd 0.0000 0.0000 0.5000
O1 O 0.0000 0.0000 0.1073
```

Summary:
For the total energy, the calculation gives -55.1 eV/cell. Its calculated volume is 149.1 Å³ per cell. Its total magnetic moment is 1.002 μB/cell.